This record from the Alexandria database describes a relaxed structure of Pr5NdSm4. The functional is PBE.

a = 8.159 Å, b = 8.159 Å, c = 8.159 Å
α = 98.62°, β = 98.62°, γ = 134.45°
Fractional coordinates of all 10 atoms:
Pr: 0.000 0.000 0.000
Pr: 0.075 0.455 0.989
Pr: 0.086 0.075 0.620
Pr: 0.455 0.466 0.380
Pr: 0.466 0.086 0.011
Nd: 0.537 0.537 0.000
Sm: 0.088 0.756 0.321
Sm: 0.435 0.767 0.679
Sm: 0.756 0.435 0.667
Sm: 0.767 0.088 0.333

Summary:
E   -4.51 eV/atom
DOS(E_F)   14.52 states/eV/cell
Offset from the most stable computed form   100.4 meV per atom
Space-group type   I4



This record from the Alexandria database describes a relaxed structure of Te2PtF. The functional is PBE.

a = 6.632 Å, b = 6.632 Å, c = 6.632 Å
α = 35.28°, β = 35.28°, γ = 35.28°
Fractional coordinates of all 4 atoms:
Te: 0.000 0.000 0.000
Te: 0.185 0.185 0.185
Pt: 0.591 0.591 0.591
F: 0.402 0.402 0.402

Summary:
Uncorrected formation energy   -304 kJ/mol of formula units
E   -4.34 eV/atom
DOS(E_F)   1.28 states/eV/cell
Offset from the most stable computed form   86.9 meV per atom
Space-group type   R3m



This record from the Alexandria database describes a relaxed structure of Ce2Dy3Ge4. The functional is PBE.

a = 7.969 Å, b = 7.854 Å, c = 7.672 Å
α = 90.00°, β = 111.60°, γ = 90.00°
Fractional coordinates of all 18 atoms:
Ce: 0.196 0.181 0.064
Ce: 0.196 0.319 0.564
Ce: 0.804 0.681 0.436
Ce: 0.804 0.819 0.936
Dy: 0.240 0.664 0.232
Dy: 0.240 0.836 0.732
Dy: 0.500 0.000 0.500
Dy: 0.500 0.500 0.000
Dy: 0.760 0.164 0.268
Dy: 0.760 0.336 0.768
Ge: 0.087 0.536 0.829
Ge: 0.087 0.964 0.329
Ge: 0.492 0.131 0.869
Ge: 0.492 0.369 0.369
Ge: 0.508 0.631 0.631
Ge: 0.508 0.869 0.131
Ge: 0.913 0.036 0.671
Ge: 0.913 0.464 0.171

Summary:
E   -5.72 eV/atom
DOS(E_F)   28.39 states/eV/cell
Space-group type   P2_1/c



This record from the Alexandria database describes a relaxed structure of Ac3SiPd3. The functional is PBE.

a = 10.236 Å, b = 10.236 Å, c = 10.236 Å
α = 155.27°, β = 155.06°, γ = 35.41°
Fractional coordinates of all 7 atoms:
Ac: 0.000 0.000 0.000
Ac: 0.359 0.359 0.000
Ac: 0.679 0.179 0.500
Si: 0.243 0.743 0.500
Pd: 0.118 0.618 0.500
Pd: 0.525 0.525 0.000
Pd: 0.811 0.811 0.000

Summary:
Uncorrected formation energy   -545 kJ/mol of formula units
E   -5.57 eV/atom
DOS(E_F)   3.52 states/eV/cell
Offset from the most stable computed form   0.0 meV per atom
Space-group type   Imm2



This record from the Alexandria database describes a relaxed structure of AsRuPb2. The functional is PBE.

a = 8.268 Å, b = 8.268 Å, c = 8.268 Å
α = 156.70°, β = 153.93°, γ = 35.24°
Fractional coordinates of all 4 atoms:
As: 0.000 0.000 0.000
Ru: 0.500 0.500 0.000
Pb: 0.337 0.837 0.500
Pb: 0.663 0.163 0.500

Summary:
E   -5.17 eV/atom
DOS(E_F)   2.15 states/eV/cell
Space-group type   Immm



This record from the Alexandria database describes a relaxed structure of FeRuBr2. The functional is PBE.

a = 6.249 Å, b = 6.249 Å, c = 6.249 Å
α = 145.43°, β = 145.43°, γ = 49.69°
Fractional coordinates of all 4 atoms:
Fe: 0.000 0.000 0.000
Ru: 0.250 0.750 0.500
Br: 0.500 0.500 0.000
Br: 0.750 0.250 0.500

Summary:
Uncorrected formation energy   336 kJ/mol of formula units
E   -4.40 eV/atom
DOS(E_F)   5.20 states/eV/cell
Offset from the most stable computed form   726.2 meV per atom
Space-group type   I-4m2



This record from the Alexandria database describes a relaxed structure of AlAu. The functional is PBE.

a = 4.644 Å, b = 4.644 Å, c = 4.644 Å
α = 60.00°, β = 60.00°, γ = 60.00°
Fractional coordinates of all 4 atoms:
Al: 0.125 0.125 0.125
Al: 0.875 0.875 0.875
Au: 0.375 0.375 0.375
Au: 0.625 0.625 0.625

Summary:
E   -3.52 eV/atom
DOS(E_F)   3.21 states/eV/cell
Space-group type   Fd-3m



This record from the Alexandria database describes a relaxed structure of Sn3Br2O2. The functional is PBE.

a = 7.133 Å, b = 9.000 Å, c = 6.856 Å
α = 90.00°, β = 117.83°, γ = 90.00°
Fractional coordinates of all 14 atoms:
Sn: 0.000 0.000 0.000
Sn: 0.000 0.500 0.500
Sn: 0.408 0.098 0.776
Sn: 0.408 0.402 0.276
Sn: 0.592 0.598 0.724
Sn: 0.592 0.902 0.224
Br: 0.175 0.657 0.953
Br: 0.175 0.843 0.453
Br: 0.825 0.157 0.547
Br: 0.825 0.343 0.047
O: 0.333 0.043 0.032
O: 0.333 0.457 0.532
O: 0.667 0.543 0.468
O: 0.667 0.957 0.968

Summary:
Uncorrected formation energy   -634 kJ/mol of formula units
E   -4.55 eV/atom
DOS(E_F)   0.00 states/eV/cell
Space-group type   P2_1/c



This record from the Alexandria database describes a relaxed structure of TbNpV. The functional is PBE.

a = 6.631 Å, b = 6.631 Å, c = 7.863 Å
α = 125.19°, β = 125.19°, γ = 27.70°
Fractional coordinates of all 6 atoms:
Tb: 0.104 0.104 0.433
Tb: 0.896 0.896 0.567
Np: 0.388 0.388 0.934
Np: 0.612 0.612 0.066
V: 0.337 0.337 0.156
V: 0.663 0.663 0.844

Summary:
E   -8.49 eV/atom
DOS(E_F)   12.35 states/eV/cell
Space-group type   C2/m



This record from the Alexandria database describes a relaxed structure of CaIrN2. The functional is PBE.

a = 6.452 Å, b = 6.452 Å, c = 6.452 Å
α = 31.98°, β = 31.98°, γ = 31.98°
Fractional coordinates of all 4 atoms:
Ca: 0.000 0.000 0.000
Ir: 0.500 0.500 0.500
N: 0.403 0.403 0.403
N: 0.597 0.597 0.597

Summary:
Uncorrected formation energy   47 kJ/mol of formula units
E   -6.76 eV/atom
DOS(E_F)   0.69 states/eV/cell
Offset from the most stable computed form   326.3 meV per atom
Space-group type   R-3m



This record from the Alexandria database describes a relaxed structure of Nd3Al4Cu4. The functional is PBE.

a = 6.617 Å, b = 6.617 Å, c = 6.617 Å
α = 109.47°, β = 109.47°, γ = 109.47°
Fractional coordinates of all 11 atoms:
Nd: 0.000 0.500 0.500
Nd: 0.500 0.000 0.500
Nd: 0.500 0.500 0.000
Al: 0.000 0.000 0.732
Al: 0.000 0.732 0.000
Al: 0.268 0.268 0.268
Al: 0.732 0.000 0.000
Cu: 0.000 0.000 0.373
Cu: 0.000 0.373 0.000
Cu: 0.373 0.000 0.000
Cu: 0.627 0.627 0.627

Summary:
E   -4.47 eV/atom
DOS(E_F)   6.80 states/eV/cell
Space-group type   I-43m



This record from the Alexandria database describes a relaxed structure of LiTlS. The functional is PBE.

a = 4.035 Å, b = 4.035 Å, c = 5.298 Å
α = 90.00°, β = 90.00°, γ = 120.00°
Fractional coordinates of all 3 atoms:
Li: 0.000 0.000 0.000
Tl: 0.667 0.333 0.540
S: 0.333 0.667 0.891

Summary:
Uncorrected formation energy   -215 kJ/mol of formula units
E   -3.54 eV/atom
DOS(E_F)   0.00 states/eV/cell
Offset from the most stable computed form   61.9 meV per atom
Space-group type   P3m1